No. 1
A plane-wave DFT calculation with PBE was carried out for crystalline Y2Pa3S8 at its relaxed geometry.

Cell lengths 6.5167, 7.8772, 8.0463 Å; angles 119.31, 105.89, 90.00 degrees
Last column: nearest neighbours and their distance in Å.
Fractional positions:
S: 0.5817 0.6360 0.7458  2 Pa 2.75, 2 Y 2.80
S: 0.4183 0.8902 0.2542  2 Pa 2.75, 2 Y 2.80
S: 0.5817 0.1098 0.7458  2 Pa 2.75, 2 Y 2.80
S: 0.0755 0.8747 0.7494  1 Y 2.74, 3 Pa 2.77
S: 0.9245 0.1253 0.2506  1 Y 2.74, 3 Pa 2.77
S: 0.4183 0.3640 0.2542  2 Pa 2.75, 2 Y 2.80
S: 0.0994 0.3918 0.7836  2 Pa 2.70, 1 Y 2.76
S: 0.9006 0.6082 0.2164  2 Pa 2.70, 1 Y 2.76
Pa: 0.0000 0.2470 0.0000  6 S 2.70-2.77
Pa: 0.0000 0.7530 0.0000  6 S 2.70-2.77
Pa: 0.5000 0.0000 0.0000  6 S 2.75-2.77
Y: 0.6650 0.7409 0.4818  6 S 2.74-2.80
Y: 0.3350 0.2591 0.5182  6 S 2.74-2.80

## Properties
Polymorph energy (0 for the lowest one): 19 meV per atom
E_tot: -7.40 eV per atom
M_tot: 0.3506 μB per atom
ΔE_f (raw): -1.68 eV per atom

***

No. 2
A plane-wave DFT calculation with PBE was carried out for crystalline YPa6S8 at its relaxed geometry.

Cell lengths 7.1521, 7.1521, 7.1521 Å; angles 89.07, 89.07, 89.07 degrees
Last column: nearest neighbours and their distance in Å.
Fractional positions:
Pa: 0.4152 0.5552 0.1919  5 S 2.76-2.94
Pa: 0.1919 0.4152 0.5552  5 S 2.76-2.94
Pa: 0.5848 0.4448 0.8081  5 S 2.76-2.94
Pa: 0.5552 0.1919 0.4152  5 S 2.76-2.94
Pa: 0.8081 0.5848 0.4448  5 S 2.76-2.94
Pa: 0.4448 0.8081 0.5848  5 S 2.76-2.94
S: 0.6492 0.8668 0.2297  4 Pa 2.76-2.94
S: 0.1332 0.7703 0.3508  4 Pa 2.76-2.94
S: 0.7776 0.7776 0.7776  3 Pa 2.77, 1 Y 2.80
S: 0.8668 0.2297 0.6492  4 Pa 2.76-2.94
S: 0.2224 0.2224 0.2224  3 Pa 2.77, 1 Y 2.80
S: 0.3508 0.1332 0.7703  4 Pa 2.76-2.94
S: 0.2297 0.6492 0.8668  4 Pa 2.76-2.94
S: 0.7703 0.3508 0.1332  4 Pa 2.76-2.94
Y: 0.0000 0.0000 0.0000  8 S 2.80-3.13

## Properties
E_tot: -7.51 eV per atom
M_tot: 0.1619 μB per atom
ΔE_f (raw): -1.08 eV per atom

***

No. 3
A plane-wave DFT calculation with PBE was carried out for crystalline YPa2S6 at its relaxed geometry.

Cell lengths 4.0658, 8.0272, 8.8775 Å; angles 101.76, 103.24, 90.00 degrees
Last column: nearest neighbours and their distance in Å.
Fractional positions:
Y: 0.5000 0.0000 0.0000  6 S 2.75-2.77
S: 0.0110 0.2347 0.0220  1 Pa 2.61, 2 Y 2.75
S: 0.6748 0.5542 0.3495  3 Pa 2.72-2.74
S: 0.6633 0.1056 0.3267  2 Pa 2.69, 1 Y 2.77
S: 0.3252 0.4458 0.6505  3 Pa 2.72-2.74
S: 0.9890 0.7653 0.9780  1 Pa 2.61, 2 Y 2.75
S: 0.3367 0.8944 0.6733  2 Pa 2.69, 1 Y 2.77
Pa: 0.1649 0.3251 0.3299  6 S 2.61-2.74
Pa: 0.8351 0.6749 0.6701  6 S 2.61-2.74

## Properties
E_tot: -7.27 eV per atom
M_tot: 0.1207 μB per atom
ΔE_f (raw): -1.69 eV per atom

***

No. 4
A plane-wave DFT calculation with PBE was carried out for crystalline Y5Pa2S12 at its relaxed geometry.

Cell lengths 7.3958, 8.4589, 8.9348 Å; angles 105.54, 90.00, 115.92 degrees
Last column: nearest neighbours and their distance in Å.
Fractional positions:
Y: 0.0000 0.0000 0.5000  6 S 2.66-2.85
Y: 0.3124 0.6247 0.1835  7 S 2.76-3.07
Y: 0.6876 0.3753 0.8165  7 S 2.76-3.07
Y: 0.2922 0.5844 0.6333  7 S 2.81-3.04
Y: 0.7078 0.4156 0.3667  7 S 2.81-3.04
S: 0.9074 0.3591 0.0987  1 Pa 2.61, 2 Y 2.79-2.85
S: 0.1044 0.7041 0.4387  4 Y 2.81-2.85
S: 0.4004 0.2959 0.5613  4 Y 2.81-2.85
S: 0.0148 0.0295 0.8042  2 Pa 2.63, 1 Y 2.66
S: 0.5483 0.6409 0.9013  1 Pa 2.61, 2 Y 2.79-2.85
S: 0.9852 0.9705 0.1958  2 Pa 2.63, 1 Y 2.66
S: 0.4996 0.9991 0.2236  2 Pa 2.70, 1 Y 2.76
S: 0.0926 0.6409 0.9013  1 Pa 2.61, 2 Y 2.79-2.85
S: 0.8956 0.2959 0.5613  4 Y 2.81-2.85
S: 0.5004 0.0009 0.7764  2 Pa 2.70, 1 Y 2.76
S: 0.4517 0.3591 0.0987  1 Pa 2.61, 2 Y 2.79-2.85
S: 0.5996 0.7041 0.4387  4 Y 2.81-2.85
Pa: 0.2552 0.0000 0.0000  6 S 2.61-2.70
Pa: 0.7448 0.0000 0.0000  6 S 2.61-2.70

## Properties
E_tot: -7.14 eV per atom
M_tot: 0.0539 μB per atom
ΔE_f (raw): -1.83 eV per atom

***

No. 5
A plane-wave DFT calculation with PBE was carried out for crystalline YPa4S5 at its relaxed geometry.

Cell lengths 5.5071, 6.7515, 6.7515 Å; angles 80.43, 65.93, 65.93 degrees
Last column: nearest neighbours and their distance in Å.
Fractional positions:
S: 0.2993 0.8020 0.6014  1 Y 2.74, 5 Pa 2.75-2.77
S: 0.1013 0.6014 0.1980  1 Y 2.74, 5 Pa 2.75-2.77
S: 0.7027 0.1980 0.3986  1 Y 2.74, 5 Pa 2.75-2.77
S: 0.9007 0.3986 0.8020  1 Y 2.74, 5 Pa 2.75-2.77
S: 0.5012 0.0000 0.0000  2 Y 2.75, 4 Pa 2.77
Y: 0.0012 0.0000 0.0000  6 S 2.74-2.75
Pa: 0.8020 0.7999 0.5981  6 S 2.75-2.77
Pa: 0.4001 0.4019 0.7999  6 S 2.75-2.77
Pa: 0.6019 0.5981 0.2001  6 S 2.75-2.77
Pa: 0.2000 0.2001 0.4019  6 S 2.75-2.77

## Properties
E_tot: -8.18 eV per atom
M_tot: 0.0001 μB per atom
ΔE_f (raw): -1.67 eV per atom

***

No. 6
A plane-wave DFT calculation with PBE was carried out for crystalline YPaS2 at its relaxed geometry.

Cell lengths 3.6872, 3.6872, 7.5287 Å; angles 75.83, 75.83, 60.00 degrees
Last column: nearest neighbours and their distance in Å.
Fractional positions:
S: 0.0848 0.0848 0.7457  3 Y 2.73, 3 Pa 2.77
S: 0.2488 0.2488 0.2536  3 Y 2.82, 3 Pa 2.85
Pa: 0.6694 0.6694 0.9917  6 S 2.77-2.85
Y: 0.4970 0.4970 0.5090  6 S 2.73-2.82

## Properties
Polymorph energy (0 for the lowest one): 108 meV per atom
E_tot: -7.72 eV per atom
M_tot: 0.0001 μB per atom
ΔE_f (raw): -1.67 eV per atom

***

No. 7
A plane-wave DFT calculation with PBE was carried out for crystalline Y2PaS4 at its relaxed geometry.

Cell lengths 3.8209, 6.7861, 12.8836 Å; angles 90.00, 90.00, 106.35 degrees
Last column: nearest neighbours and their distance in Å.
Fractional positions:
Y: 0.8647 0.7294 0.5670  6 S 2.73-2.77
Y: 0.1353 0.2706 0.0670  6 S 2.73-2.77
Y: 0.1353 0.2706 0.4330  6 S 2.73-2.77
Y: 0.8647 0.7294 0.9330  6 S 2.73-2.77
Pa: 0.6229 0.2458 0.7500  6 S 2.76-2.82
Pa: 0.3771 0.7542 0.2500  6 S 2.76-2.82
S: 0.7738 0.5476 0.3729  3 Y 2.74-2.77, 2 Pa 2.82
S: 0.2262 0.4524 0.8729  3 Y 2.74-2.77, 2 Pa 2.82
S: 0.2262 0.4524 0.6271  3 Y 2.74-2.77, 2 Pa 2.82
S: 0.7738 0.5476 0.1271  3 Y 2.74-2.77, 2 Pa 2.82
S: 0.5000 0.0000 0.0000  4 Y 2.74
S: 0.0296 0.0593 0.2500  2 Y 2.73, 2 Pa 2.76
S: 0.9704 0.9407 0.7500  2 Y 2.73, 2 Pa 2.76
S: 0.5000 0.0000 0.5000  4 Y 2.74

## Properties
E_tot: -7.40 eV per atom
M_tot: 0.1826 μB per atom
ΔE_f (raw): -1.84 eV per atom

***

No. 8
A plane-wave DFT calculation with PBE was carried out for crystalline YPaS2 at its relaxed geometry.

Cell lengths 6.8262, 6.7055, 8.7199 Å; angles 104.73, 105.28, 109.42 degrees
Last column: nearest neighbours and their distance in Å.
Fractional positions:
Y: 0.1866 0.9366 0.8731  6 S 2.74-2.77
Y: 0.0614 0.3114 0.6227  6 S 2.74-2.77
Y: 0.9386 0.6886 0.3773  6 S 2.74-2.77
Y: 0.8134 0.0634 0.1269  6 S 2.74-2.77
S: 0.8146 0.5630 0.6250  3 Y 2.74-2.75, 3 Pa 2.77
S: 0.5634 0.3123 0.1249  3 Pa 2.75-2.77, 3 Y 2.76-2.77
S: 0.3104 0.0620 0.6250  3 Y 2.74-2.75, 3 Pa 2.77
S: 0.9385 0.1874 0.8751  3 Pa 2.75-2.77, 3 Y 2.76-2.77
S: 0.0615 0.8126 0.1249  3 Pa 2.75-2.77, 3 Y 2.76-2.77
S: 0.4366 0.6877 0.8751  3 Pa 2.75-2.77, 3 Y 2.76-2.77
S: 0.1854 0.4370 0.3750  3 Y 2.74-2.75, 3 Pa 2.77
S: 0.6896 0.9380 0.3750  3 Y 2.74-2.75, 3 Pa 2.77
Pa: 0.3122 0.5622 0.1244  6 S 2.75-2.77
Pa: 0.5630 0.8130 0.6261  6 S 2.76-2.77
Pa: 0.6878 0.4378 0.8756  6 S 2.75-2.77
Pa: 0.4370 0.1870 0.3739  6 S 2.76-2.77

## Properties
Polymorph energy (0 for the lowest one): 0 meV per atom
E_tot: -7.83 eV per atom
M_tot: 0.0000 μB per atom
ΔE_f (raw): -1.77 eV per atom